(1)
Material: KPRu
Method: DFT, SCAN
State: PBEsol geometry

Unit cell a=3.043 b=3.043 c=12.144 alpha=90.00 beta=90.00 gamma=90.00
Space group I4mm (No. 107)
Asymmetric unit:
K (0.000, 0.000, 0.000)
P (0.000, 0.000, 0.296)
Ru (0.000, 0.000, 0.718)

- DOS at the Fermi energy (states/eV/cell) = 1.17
- E (Ha/atom) = -0.664
- energy of formation from the pure elements (eV per formula unit) = -0.646


(2)
Material: Li2CaCr
Method: DFT, SCAN
State: PBEsol geometry

Unit cell a=7.086 b=7.086 c=7.086 alpha=90.00 beta=90.00 gamma=90.00
Space group Fm-3m (No. 225)
Asymmetric unit:
Li (0.250, 0.250, 0.250)
Ca (0.000, 0.000, 0.000)
Cr (0.000, 0.000, 0.500)

- DOS at the Fermi energy (states/eV/cell) = 10.30
- E (Ha/atom) = -0.293
- energy of formation from the pure elements (eV per formula unit) = 0.960


(3)
Material: NaAuN3
Method: DFT, SCAN
State: PBEsol geometry

Unit cell a=4.287 b=4.287 c=4.287 alpha=90.00 beta=90.00 gamma=90.00
Space group Pm-3m (No. 221)
Asymmetric unit:
Na (0.000, 0.000, 0.000)
Au (0.500, 0.500, 0.500)
N (0.000, 0.000, 0.500)

- DOS at the Fermi energy (states/eV/cell) = 2.10
- E (Ha/atom) = -0.645
- E_form (uncorrected) (eV per formula unit) = 13.46


(4)
Material: Li4LaAg
Method: DFT, SCAN
State: PBEsol geometry

Unit cell a=7.728 b=7.728 c=7.728 alpha=90.00 beta=90.00 gamma=90.00
Space group F-43m (No. 216)
Asymmetric unit:
Li (0.122, 0.122, 0.122)
La (0.000, 0.000, 0.500)
Ag (0.250, 0.250, 0.750)

- DOS at the Fermi energy (states/eV/cell) = 6.62
- E (Ha/atom) = -0.516
- energy of formation from the pure elements (eV per formula unit) = -0.163